No. 1
{"formula": "PmMg2Pd", "functional": "GGA-PBE", "state": "optimized geometry", "spacegroup": "P4/mmm (123)", "relative_energy_ev_per_atom": 0.1478, "lattice_angstrom": [[-0.252, 2.659, -1.985], [-3.222, 0.280, 0.783], [1.901, 4.752, 6.126]], "species": ["Mg", "Mg", "Pd", "Pm"], "frac_coords": [[0.000, 0.000, 0.815], [0.000, 0.000, 0.185], [0.500, 0.500, 0.000], [0.500, 0.500, 0.500]]}


No. 2
{"formula": "PmMg4Pd2", "functional": "GGA-PBE", "state": "optimized geometry", "total_energy_ev_per_atom": -3.5813, "spacegroup": "P4_2/mnm (136)", "lattice_angstrom": [[-2.652, -3.386, -1.331], [2.340, -4.355, 6.416], [-6.113, 3.088, 4.325]], "species": ["Mg", "Mg", "Mg", "Mg", "Mg", "Mg", "Mg", "Mg", "Pd", "Pd", "Pd", "Pd", "Pm", "Pm"], "frac_coords": [[0.000, 0.088, 0.337], [0.500, 0.163, 0.588], [0.500, 0.588, 0.163], [0.000, 0.337, 0.088], [0.500, 0.837, 0.412], [0.000, 0.663, 0.912], [0.500, 0.412, 0.837], [0.000, 0.912, 0.663], [0.000, 0.230, 0.770], [0.500, 0.270, 0.270], [0.500, 0.730, 0.730], [0.000, 0.770, 0.230], [0.000, 0.500, 0.500], [0.500, 0.000, 0.000]]}


No. 3
{"formula": "PmMg3Pd", "functional": "GGA-PBE", "state": "optimized geometry", "spacegroup": "Amm2 (38)", "relative_energy_ev_per_atom": 0.0864, "lattice_angstrom": [[-0.812, -0.822, 4.512], [-2.420, -4.018, -1.168], [5.822, -0.859, 0.891]], "species": ["Pm", "Pd", "Mg", "Mg", "Mg"], "frac_coords": [[0.500, 0.037, 0.073], [0.500, 0.383, 0.765], [0.000, 0.260, 0.520], [0.500, 0.742, 0.485], [0.000, 0.539, 0.077]]}


No. 4
{"formula": "PmMg3Pd4", "functional": "GGA-PBE", "state": "optimized geometry", "total_energy_ev_per_atom": -4.5010, "spacegroup": "R-3m (166)", "lattice_angstrom": [[-3.111, -2.149, -2.624], [-2.972, -2.952, 1.905], [-7.205, 4.303, 0.982]], "species": ["Mg", "Mg", "Mg", "Pd", "Pd", "Pd", "Pd", "Pm"], "frac_coords": [[0.500, 0.500, 0.500], [0.241, 0.241, 0.276], [0.759, 0.759, 0.724], [0.610, 0.610, 0.171], [0.126, 0.126, 0.621], [0.874, 0.874, 0.379], [0.390, 0.390, 0.829], [0.000, 0.000, 0.000]]}


No. 5
{"formula": "Pm4MgPd2", "functional": "GGA-PBE", "state": "optimized geometry", "total_energy_ev_per_atom": -4.8652, "spacegroup": "P1 (1)", "lattice_angstrom": [[7.070, -0.473, -0.122], [-0.987, 6.890, 0.109], [-2.904, -3.313, 8.032]], "species": ["Pm", "Pm", "Pm", "Pm", "Pm", "Pm", "Pm", "Pm", "Pd", "Pd", "Pd", "Pd", "Mg", "Mg"], "frac_coords": [[0.845, 0.591, 0.595], [0.501, 0.747, 0.906], [0.725, 0.178, 0.764], [0.908, 0.625, 0.180], [0.389, 0.489, 0.193], [0.978, 0.195, 0.319], [0.447, 0.047, 0.309], [0.211, 0.166, 0.736], [0.430, 0.386, 0.581], [0.575, 0.202, 0.051], [0.776, 0.901, 0.449], [0.099, 0.554, 0.919], [0.051, 0.949, 0.980], [0.316, 0.719, 0.520]]}


No. 6
{"formula": "Pm12MgPd7", "functional": "GGA-PBE", "state": "optimized geometry", "total_energy_ev_per_atom": -5.2099, "spacegroup": "R-3 (148)", "lattice_angstrom": [[8.929, -0.265, -0.398], [-2.737, 8.504, -0.398], [-2.737, -3.642, 7.694]], "species": ["Pm", "Pm", "Pm", "Pm", "Pm", "Pm", "Pm", "Pm", "Pm", "Pm", "Pm", "Pm", "Pd", "Pd", "Pd", "Pd", "Pd", "Pd", "Pd", "Mg"], "frac_coords": [[0.100, 0.311, 0.403], [0.597, 0.900, 0.689], [0.677, 0.305, 0.147], [0.853, 0.323, 0.695], [0.403, 0.100, 0.311], [0.311, 0.403, 0.100], [0.689, 0.597, 0.900], [0.695, 0.853, 0.323], [0.305, 0.147, 0.677], [0.147, 0.677, 0.305], [0.323, 0.695, 0.853], [0.900, 0.689, 0.597], [0.931, 0.280, 0.025], [0.500, 0.500, 0.500], [0.069, 0.720, 0.975], [0.025, 0.931, 0.280], [0.975, 0.069, 0.720], [0.280, 0.025, 0.931], [0.720, 0.975, 0.069], [0.000, 0.000, 0.000]]}